The following is a DFT calculation (PBE-GGA) of SrTaNi after structural relaxation.

Computed properties:
energy of formation from the pure elements: 1.036 eV per atom
VASP energy: -5.403 eV per atom
Fermi-level density of states: 4.79 states/eV per cell
energy above the most stable polymorph in this dataset: 2.152 eV/f.u.

a = 4.6385 Å, b = 4.6385 Å, c = 4.6385 Å
α = 60.00°, β = 60.00°, γ = 60.00°
Atoms (fractional coordinates):
1 Ni 0.7500 0.7500 0.7500
2 Sr 0.0000 0.0000 0.0000
3 Ta 0.5000 0.5000 0.5000

The following is a DFT calculation (PBE-GGA) of Sr2TaNi after structural relaxation.

Computed properties:
energy of formation from the pure elements: 0.996 eV per atom
VASP energy: -4.254 eV per atom
Fermi-level density of states: 4.95 states/eV per cell
energy above the most stable polymorph in this dataset: 2.584 eV/f.u.

a = 5.7688 Å, b = 5.7688 Å, c = 3.2530 Å
α = 90.00°, β = 90.00°, γ = 108.06°
Atoms (fractional coordinates):
1 Sr 0.5000 0.5000 0.0000
2 Sr 0.0000 0.0000 0.0000
3 Ta 0.5000 0.0000 0.5000
4 Ni 0.0000 0.5000 0.5000

The following is a DFT calculation (PBE-GGA) of SrTb2Ni after structural relaxation.

Computed properties:
energy of formation from the pure elements: 0.010 eV per atom
VASP energy: -4.171 eV per atom
Fermi-level density of states: 4.25 states/eV per cell
energy above the most stable polymorph in this dataset: 0.332 eV/f.u.

a = 3.9489 Å, b = 3.9489 Å, c = 10.7575 Å
α = 79.42°, β = 79.42°, γ = 60.00°
Atoms (fractional coordinates):
1 Ni 0.5000 0.5000 0.5000
2 Sr 0.0000 0.0000 0.0000
3 Tb 0.1208 0.1208 0.6375
4 Tb 0.8792 0.8792 0.3625